# 1
Here is a relaxed structure of LiScSnF2 from the Alexandria database. Energies are from PBE-GGA.

Values from the calculation:
Formation energy without anion corrections, meV/atom: -827
M_tot, μB/f.u.: 0.3
Final energy, eV per atom: -4.025

Structure (POSCAR):
```
LiScSnF2
1.0
4.551 0.000 0.000
0.000 4.551 0.000
0.000 0.000 6.047
Li Sc Sn F
1 1 1 2
Cartesian
0.000 0.000 0.000
2.276 2.276 0.000
2.276 2.276 3.024
0.000 2.276 3.024
2.276 0.000 3.024
```

***

# 2
Here is a relaxed structure of SrLiScF6 from the Alexandria database. Energies are from PBE-GGA.

Values from the calculation:
Formation energy without anion corrections, meV/atom: -3740
M_tot, μB/f.u.: 0.0
Final energy, eV per atom: -6.091

Structure (POSCAR):
```
SrLiScF6
1.0
5.371 0.000 0.000
-2.685 4.651 0.000
0.000 0.000 10.558
Sr Li Sc F
2 2 2 12
Cartesian
0.000 0.000 0.000
0.000 0.000 5.279
0.000 3.101 2.639
2.685 1.550 7.918
0.000 3.101 7.918
2.685 1.550 2.639
-0.950 1.701 6.786
-1.687 2.978 9.051
0.950 1.701 9.051
-0.738 4.624 6.786
1.948 0.028 1.507
0.998 1.673 3.772
1.687 2.978 6.786
0.738 4.624 9.051
3.423 0.028 3.772
1.736 2.951 1.507
4.373 1.673 1.507
3.635 2.951 3.772
```

***

# 3
Here is a relaxed structure of LiScTc2F from the Alexandria database. Energies are from PBE-GGA.

Values from the calculation:
Formation energy without anion corrections, meV/atom: 1329
M_tot, μB/f.u.: 4.5
Final energy, eV per atom: -4.841

Structure (POSCAR):
```
LiScTc2F
1.0
4.704 0.000 0.000
0.000 4.704 0.000
0.000 0.000 5.917
Li Sc Tc F
1 1 2 1
Cartesian
0.000 0.000 0.000
0.000 0.000 2.959
0.000 2.352 2.959
2.352 0.000 2.959
2.352 2.352 0.000
```

***

# 4
Here is a relaxed structure of Li2ScTlF from the Alexandria database. Energies are from PBE-GGA.

Values from the calculation:
Formation energy without anion corrections, meV/atom: -1188
M_tot, μB/f.u.: 0.0
Final energy, eV per atom: -4.068

Structure (POSCAR):
```
Li2ScTlF
1.0
4.265 0.000 0.000
0.000 4.265 0.000
0.000 0.000 4.551
Li Sc Tl F
2 1 1 1
Cartesian
0.000 2.132 0.000
2.132 0.000 0.000
0.000 0.000 2.275
2.132 2.132 2.275
0.000 0.000 0.000
```

***

Q: What is the formula in the third record?
A: LiScTc2F

***

Q: Look up the M_tot of the third one.
A: 4.5 μB/f.u.

***

Q: Among the records above, which one has the lowest final energy?
A: SrLiScF6